Record 1
TiAsP2Cl (PBE, optimized geometry); raw formation energy = 64 kJ/mol of atoms
1.0
4.718 0.000 0.000
0.000 4.718 0.000
0.000 0.000 4.787
As Ti P Cl
1 1 2 1
direct
0.000 0.000 0.000 As
0.500 0.500 0.500 Ti
0.500 0.000 0.000 P
0.000 0.500 0.000 P
0.000 0.000 0.500 Cl


Record 2
TlAsP2Cl (PBE, optimized geometry); raw formation energy = 112 kJ/mol of atoms
1.0
5.166 0.000 0.000
0.000 5.166 0.000
0.000 0.000 5.073
Cl Tl As P
1 1 1 2
direct
0.000 0.000 0.500 Cl
0.000 0.000 0.000 Tl
0.500 0.500 0.500 As
0.500 0.000 0.000 P
0.000 0.500 0.000 P


Record 3
TlAsP2Cl (PBE, optimized geometry); raw formation energy = 38 kJ/mol of atoms
1.0
-4.526 1.378 0.038
-1.373 -4.518 0.300
0.154 0.344 5.883
P Tl As Cl
2 1 1 1
direct
0.500 0.000 0.000 P
0.000 0.500 0.000 P
0.500 0.500 0.500 Tl
0.000 0.000 0.000 As
0.000 0.000 0.500 Cl


Record 4
VAsPCl2 (PBE, optimized geometry); raw formation energy = 9 kJ/mol of atoms
1.0
-2.215 -1.709 3.605
-1.126 -3.688 -2.441
4.315 -2.339 1.543
As Cl V P
1 2 1 1
direct
0.500 0.500 0.500 As
0.500 0.000 0.000 Cl
0.000 0.500 0.000 Cl
0.000 0.000 0.000 V
0.000 0.000 0.500 P


Record 5
VAsP2Cl (PBE, optimized geometry); raw formation energy = 103 kJ/mol of atoms
1.0
-3.573 0.223 -3.105
2.490 -2.633 -3.054
-1.850 -3.895 1.850
Cl As P V
1 1 2 1
direct
0.000 0.000 0.500 Cl
0.000 0.000 0.000 As
0.500 0.000 0.000 P
0.000 0.500 0.000 P
0.500 0.500 0.500 V


Record 6
VAsPCl2 (PBE, optimized geometry); raw formation energy = 56 kJ/mol of atoms
1.0
-2.432 4.019 1.304
-3.580 -2.759 1.828
2.290 -0.046 4.415
V Cl As P
1 2 1 1
direct
0.500 0.500 0.500 V
0.500 0.000 0.000 Cl
0.000 0.500 0.000 Cl
0.000 0.000 0.000 As
0.000 0.000 0.500 P


Record 7
VAsP2Cl (PBE, optimized geometry); raw formation energy = 36 kJ/mol of atoms
1.0
-2.815 -0.710 -3.708
1.996 -4.206 -0.710
-2.976 -1.854 2.614
As P Cl V
1 2 1 1
direct
0.500 0.500 0.500 As
0.500 0.000 0.000 P
0.000 0.500 0.000 P
0.000 0.000 0.500 Cl
0.000 0.000 0.000 V


Record 8
AsPWCl2 (PBE, optimized geometry); raw formation energy = 121 kJ/mol of atoms
1.0
4.679 0.000 0.000
0.000 4.679 0.000
0.000 0.000 5.333
W P As Cl
1 1 1 2
direct
0.500 0.500 0.500 W
0.000 0.000 0.500 P
0.000 0.000 0.000 As
0.000 0.500 0.000 Cl
0.500 0.000 0.000 Cl


Record 9
AsPWCl2 (PBE, optimized geometry); raw formation energy = 53 kJ/mol of atoms
1.0
-2.739 -2.285 -3.110
2.083 -4.086 1.167
-3.381 -0.722 3.508
P W Cl As
1 1 2 1
direct
0.000 0.000 0.500 P
0.000 0.000 0.000 W
0.000 0.500 0.000 Cl
0.500 0.000 0.000 Cl
0.500 0.500 0.500 As


Record 10
ZnAsP2Cl (PBE, optimized geometry); raw formation energy = 110 kJ/mol of atoms
1.0
-3.464 -2.252 -2.219
3.117 -3.014 -1.806
-0.558 -2.804 3.717
Zn As P Cl
1 1 2 1
direct
0.000 0.500 0.000 Zn
0.500 0.500 0.500 As
0.000 0.000 0.500 P
0.500 0.000 0.000 P
0.000 0.000 0.000 Cl


Record 11
ZnAsP2Cl (PBE, optimized geometry); raw formation energy = 72 kJ/mol of atoms
1.0
4.790 0.000 0.000
0.000 4.790 0.000
0.000 0.000 4.946
As Zn P Cl
1 1 2 1
direct
0.000 0.000 0.000 As
0.500 0.500 0.500 Zn
0.000 0.500 0.000 P
0.500 0.000 0.000 P
0.000 0.000 0.500 Cl


Record 12
ZnAsPCl2 (PBE, optimized geometry); raw formation energy = 29 kJ/mol of atoms
1.0
4.911 0.000 0.000
0.000 4.911 0.000
0.000 0.000 5.042
As Zn Cl P
1 1 2 1
direct
0.000 0.000 0.000 As
0.500 0.500 0.500 Zn
0.500 0.000 0.000 Cl
0.000 0.500 0.000 Cl
0.000 0.000 0.500 P